Record 1
DFT (GGA-PBE) results for an optimized crystal structure of NaCoBr2.

Summary:
ΔE to the lowest computed polymorph in eV/f.u.: 0.000
Space-group type: I-42d (122)
Formation energy without anion corrections in eV per atom: -0.525
DFT total energy in eV/cell: -55.49

Cell and atoms, written as POSCAR:
```
NaCoBr2
1.0
6.273 0.000 0.000
0.000 6.273 0.000
0.000 0.000 11.426
Na Co Br
4 4 8
Direct
0.000 0.000 0.000 Na
0.000 0.500 0.250 Na
0.500 0.000 0.750 Na
0.500 0.500 0.500 Na
0.000 0.000 0.500 Co
0.000 0.500 0.750 Co
0.500 0.000 0.250 Co
0.500 0.500 0.000 Co
0.193 0.250 0.625 Br
0.250 0.693 0.875 Br
0.250 0.807 0.375 Br
0.307 0.250 0.125 Br
0.693 0.750 0.125 Br
0.750 0.193 0.375 Br
0.750 0.307 0.875 Br
0.807 0.750 0.625 Br
```



Record 2
DFT (GGA-PBE) results for an optimized crystal structure of NaCo2Br2.

Summary:
ΔE to the lowest computed polymorph in eV/f.u.: 0.143
Space-group type: I4/mmm (139)
Formation energy without anion corrections in eV per atom: 0.168
DFT total energy in eV/cell: -36.08

Cell and atoms, written as POSCAR:
```
NaCo2Br2
1.0
4.805 0.000 0.000
0.000 4.805 0.000
0.000 0.000 9.241
Na Co Br
2 4 4
Direct
0.000 0.000 0.000 Na
0.500 0.500 0.500 Na
0.000 0.000 0.381 Co
0.000 0.000 0.619 Co
0.500 0.500 0.119 Co
0.500 0.500 0.881 Co
0.000 0.500 0.250 Br
0.000 0.500 0.750 Br
0.500 0.000 0.250 Br
0.500 0.000 0.750 Br
```



Record 3
DFT (GGA-PBE) results for an optimized crystal structure of Na2CoBr.

Summary:
ΔE to the lowest computed polymorph in eV/f.u.: 0.000
Space-group type: Fm-3m (225)
Formation energy without anion corrections in eV per atom: 0.126
DFT total energy in eV/cell: -43.65

Cell and atoms, written as POSCAR:
```
Na2CoBr
1.0
7.419 0.000 0.000
0.000 7.419 0.000
0.000 0.000 7.419
Na Co Br
8 4 4
Direct
0.250 0.250 0.250 Na
0.250 0.250 0.750 Na
0.250 0.750 0.250 Na
0.250 0.750 0.750 Na
0.750 0.250 0.250 Na
0.750 0.250 0.750 Na
0.750 0.750 0.250 Na
0.750 0.750 0.750 Na
0.000 0.000 0.000 Co
0.000 0.500 0.500 Co
0.500 0.000 0.500 Co
0.500 0.500 0.000 Co
0.000 0.000 0.500 Br
0.000 0.500 0.000 Br
0.500 0.000 0.000 Br
0.500 0.500 0.500 Br
```



Record 4
DFT (GGA-PBE) results for an optimized crystal structure of Na2CoBr6.

Summary:
Space-group type: P4_2/mnm (136)
Formation energy without anion corrections in eV per atom: -0.701
DFT total energy in eV/cell: -52.18

Cell and atoms, written as POSCAR:
```
Na2CoBr6
1.0
6.562 0.000 0.000
0.000 6.562 0.000
0.000 0.000 12.465
Na Co Br
4 2 12
Direct
0.000 0.000 0.168 Na
0.000 0.000 0.832 Na
0.500 0.500 0.332 Na
0.500 0.500 0.668 Na
0.000 0.000 0.500 Co
0.500 0.500 0.000 Co
0.181 0.181 0.361 Br
0.181 0.181 0.639 Br
0.241 0.241 0.000 Br
0.259 0.741 0.500 Br
0.319 0.681 0.139 Br
0.319 0.681 0.861 Br
0.681 0.319 0.139 Br
0.681 0.319 0.861 Br
0.741 0.259 0.500 Br
0.759 0.759 0.000 Br
0.819 0.819 0.361 Br
0.819 0.819 0.639 Br
```



Record 5
DFT (GGA-PBE) results for an optimized crystal structure of NaCoBr2.

Summary:
ΔE to the lowest computed polymorph in eV/f.u.: 1.288
Space-group type: Fm-3m (225)
Formation energy without anion corrections in eV per atom: -0.203
DFT total energy in eV/cell: -50.34

Cell and atoms, written as POSCAR:
```
NaCoBr2
1.0
6.992 0.000 0.000
0.000 6.992 0.000
0.000 0.000 6.992
Na Co Br
4 4 8
Direct
0.000 0.000 0.000 Na
0.000 0.500 0.500 Na
0.500 0.000 0.500 Na
0.500 0.500 0.000 Na
0.000 0.000 0.500 Co
0.000 0.500 0.000 Co
0.500 0.000 0.000 Co
0.500 0.500 0.500 Co
0.250 0.250 0.250 Br
0.250 0.250 0.750 Br
0.250 0.750 0.250 Br
0.250 0.750 0.750 Br
0.750 0.250 0.250 Br
0.750 0.250 0.750 Br
0.750 0.750 0.250 Br
0.750 0.750 0.750 Br
```



Record 6
DFT (GGA-PBE) results for an optimized crystal structure of Na2CoBr4.

Summary:
ΔE to the lowest computed polymorph in eV/f.u.: 1.046
Space-group type: I4/mmm (139)
Formation energy without anion corrections in eV per atom: -0.841
DFT total energy in eV/cell: -44.65

Cell and atoms, written as POSCAR:
```
Na2CoBr4
1.0
5.042 0.000 0.000
0.000 5.042 0.000
0.000 0.000 14.779
Na Co Br
4 2 8
Direct
0.000 0.000 0.134 Na
0.000 0.000 0.866 Na
0.500 0.500 0.366 Na
0.500 0.500 0.634 Na
0.000 0.000 0.500 Co
0.500 0.500 0.000 Co
0.000 0.000 0.333 Br
0.000 0.000 0.667 Br
0.000 0.500 0.000 Br
0.000 0.500 0.500 Br
0.500 0.000 0.000 Br
0.500 0.000 0.500 Br
0.500 0.500 0.167 Br
0.500 0.500 0.833 Br
```



Record 7
DFT (GGA-PBE) results for an optimized crystal structure of NaCo2Br.

Summary:
ΔE to the lowest computed polymorph in eV/f.u.: 0.000
Space-group type: I-42d (122)
Formation energy without anion corrections in eV per atom: 0.594
DFT total energy in eV/cell: -59.30

Cell and atoms, written as POSCAR:
```
NaCo2Br
1.0
4.562 0.000 0.000
0.000 4.562 0.000
0.000 0.000 16.850
Na Co Br
4 8 4
Direct
0.000 0.000 0.000 Na
0.000 0.500 0.250 Na
0.500 0.000 0.750 Na
0.500 0.500 0.500 Na
0.021 0.250 0.625 Co
0.250 0.521 0.875 Co
0.250 0.979 0.375 Co
0.479 0.250 0.125 Co
0.521 0.750 0.125 Co
0.750 0.021 0.375 Co
0.750 0.479 0.875 Co
0.979 0.750 0.625 Co
0.000 0.000 0.500 Br
0.000 0.500 0.750 Br
0.500 0.000 0.250 Br
0.500 0.500 0.000 Br
```



Record 8
DFT (GGA-PBE) results for an optimized crystal structure of Na4CoBr6.

Summary:
Space-group type: Cc (9)
Formation energy without anion corrections in eV per atom: -1.184
DFT total energy in eV/cell: -70.89

Cell and atoms, written as POSCAR:
```
Na4CoBr6
1.0
6.999 -3.946 0.000
6.999 3.946 0.000
-5.323 0.000 13.118
Na Co Br
8 2 12
Direct
0.105 0.895 0.500 Na
0.244 0.474 0.019 Na
0.450 0.807 0.854 Na
0.474 0.244 0.519 Na
0.674 0.940 0.196 Na
0.807 0.450 0.354 Na
0.895 0.105 0.000 Na
0.940 0.674 0.696 Na
0.291 0.839 0.260 Co
0.839 0.291 0.760 Co
0.081 0.561 0.514 Br
0.102 0.663 0.214 Br
0.109 0.157 0.214 Br
0.157 0.109 0.714 Br
0.166 0.736 0.894 Br
0.437 0.862 0.439 Br
0.561 0.081 0.014 Br
0.567 0.630 0.172 Br
0.630 0.567 0.672 Br
0.663 0.102 0.714 Br
0.736 0.166 0.394 Br
0.862 0.437 0.939 Br
```



Record 9
DFT (GGA-PBE) results for an optimized crystal structure of NaCo2Br2.

Summary:
ΔE to the lowest computed polymorph in eV/f.u.: 0.000
Space-group type: P4/mbm (127)
Formation energy without anion corrections in eV per atom: 0.139
DFT total energy in eV/cell: -36.36

Cell and atoms, written as POSCAR:
```
NaCo2Br2
1.0
7.575 0.000 0.000
0.000 7.575 0.000
0.000 0.000 4.285
Na Co Br
2 4 4
Direct
0.000 0.000 0.000 Na
0.500 0.500 0.000 Na
0.102 0.398 0.000 Co
0.398 0.898 0.000 Co
0.602 0.102 0.000 Co
0.898 0.602 0.000 Co
0.178 0.322 0.500 Br
0.322 0.822 0.500 Br
0.678 0.178 0.500 Br
0.822 0.678 0.500 Br
```



Record 10
DFT (GGA-PBE) results for an optimized crystal structure of NaCoBr2.

Summary:
ΔE to the lowest computed polymorph in eV/f.u.: 0.492
Space-group type: R-3m (166)
Formation energy without anion corrections in eV per atom: -0.402
DFT total energy in eV/cell: -40.14

Cell and atoms, written as POSCAR:
```
NaCoBr2
1.0
4.476 0.000 0.000
-2.238 3.876 0.000
0.000 0.000 22.859
Na Co Br
3 3 6
Direct
0.000 0.000 0.000 Na
0.333 0.667 0.667 Na
0.667 0.333 0.333 Na
0.000 0.000 0.500 Co
0.333 0.667 0.167 Co
0.667 0.333 0.833 Co
0.000 0.000 0.400 Br
0.000 0.000 0.600 Br
0.333 0.667 0.067 Br
0.333 0.667 0.267 Br
0.667 0.333 0.733 Br
0.667 0.333 0.933 Br
```



Record 11
DFT (GGA-PBE) results for an optimized crystal structure of NaCoBr2.

Summary:
ΔE to the lowest computed polymorph in eV/f.u.: 0.724
Space-group type: R-3m (166)
Formation energy without anion corrections in eV per atom: -0.344
DFT total energy in eV/cell: -39.44

Cell and atoms, written as POSCAR:
```
NaCoBr2
1.0
3.879 0.000 0.000
-1.940 3.360 0.000
0.000 0.000 25.024
Na Co Br
3 3 6
Direct
0.000 0.000 0.000 Na
0.333 0.667 0.667 Na
0.667 0.333 0.333 Na
0.000 0.000 0.500 Co
0.333 0.667 0.167 Co
0.667 0.333 0.833 Co
0.000 0.000 0.111 Br
0.000 0.000 0.889 Br
0.333 0.667 0.555 Br
0.333 0.667 0.778 Br
0.667 0.333 0.222 Br
0.667 0.333 0.445 Br
```



Record 12
DFT (GGA-PBE) results for an optimized crystal structure of NaCo2Br.

Summary:
ΔE to the lowest computed polymorph in eV/f.u.: 1.433
Space-group type: Fm-3m (225)
Formation energy without anion corrections in eV per atom: 0.953
DFT total energy in eV/cell: -53.57

Cell and atoms, written as POSCAR:
```
NaCo2Br
1.0
6.315 0.000 0.000
0.000 6.315 0.000
0.000 0.000 6.315
Na Co Br
4 8 4
Direct
0.000 0.000 0.000 Na
0.000 0.500 0.500 Na
0.500 0.000 0.500 Na
0.500 0.500 0.000 Na
0.250 0.250 0.250 Co
0.250 0.250 0.750 Co
0.250 0.750 0.250 Co
0.250 0.750 0.750 Co
0.750 0.250 0.250 Co
0.750 0.250 0.750 Co
0.750 0.750 0.250 Co
0.750 0.750 0.750 Co
0.000 0.000 0.500 Br
0.000 0.500 0.000 Br
0.500 0.000 0.000 Br
0.500 0.500 0.500 Br
```



formation energy without anion corrections of number 7 (NaCo2Br)? 0.594 eV per atom



formation energy without anion corrections of number 8 (Na4CoBr6)? -1.184 eV per atom



Look up the formation energy without anion corrections of the fourth one. -0.701 eV per atom



Copy entry 10 word for word.
DFT (GGA-PBE) results for an optimized crystal structure of NaCoBr2.

Summary:
ΔE to the lowest computed polymorph in eV/f.u.: 0.492
Space-group type: R-3m (166)
Formation energy without anion corrections in eV per atom: -0.402
DFT total energy in eV/cell: -40.14

Cell and atoms, written as POSCAR:
```
NaCoBr2
1.0
4.476 0.000 0.000
-2.238 3.876 0.000
0.000 0.000 22.859
Na Co Br
3 3 6
Direct
0.000 0.000 0.000 Na
0.333 0.667 0.667 Na
0.667 0.333 0.333 Na
0.000 0.000 0.500 Co
0.333 0.667 0.167 Co
0.667 0.333 0.833 Co
0.000 0.000 0.400 Br
0.000 0.000 0.600 Br
0.333 0.667 0.067 Br
0.333 0.667 0.267 Br
0.667 0.333 0.733 Br
0.667 0.333 0.933 Br
```